No. 1
A relaxed structure of ZrFeTc2Os. Source: the Alexandria database, functional PBE.

Structure (extended XYZ):
```
5
Lattice="-2.700 2.473 -2.872 1.664 -2.206 -3.464 -3.363 -3.190 0.415" Properties=species:S:1:pos:R:3 pbc="T T T"
Fe 0.832 -1.103 -1.732
Zr 0.000 0.000 0.000
Tc -1.681 -1.595 0.208
Tc -1.350 1.236 -1.436
Os -2.199 -1.461 -2.960
```

ΔH_f (0 K): 2.271 eV per atom
Space-group type: P4/mmm (123)

=====

No. 2
A relaxed structure of Fe2TeOs. Source: the Alexandria database, functional PBE.

Structure (extended XYZ):
```
8
Lattice="-3.570 -2.688 -3.125 1.499 -4.697 2.328 -4.859 -3.031 3.401" Properties=species:S:1:pos:R:3 pbc="T T T"
Os -4.732 -4.706 -0.061
Os 0.000 0.000 0.000
Te -1.035 -3.693 -0.399
Te -2.197 -5.710 2.665
Fe -5.405 -8.893 1.931
Fe -3.378 -3.115 -0.917
Fe -0.604 -3.939 2.019
Fe -4.471 -4.885 2.173
```

Final energy: -6.93 eV per atom
Space-group type: I-42d (122)

=====

No. 3
A relaxed structure of Fe2TeOs. Source: the Alexandria database, functional PBE.

Structure (extended XYZ):
```
4
Lattice="4.371 0.000 0.000 2.185 3.785 0.000 2.185 1.262 3.569" Properties=species:S:1:pos:R:3 pbc="T T T"
Te 6.556 3.785 2.677
Os 4.371 2.524 1.784
Fe 2.185 1.262 0.892
Fe 0.000 0.000 0.000
```

Final energy: -7.33 eV per atom
Space-group type: F-43m (216)

=====

No. 4
A relaxed structure of FeTeOs4. Source: the Alexandria database, functional PBE.

Structure (extended XYZ):
```
6
Lattice="-3.947 -3.344 0.785 -1.226 -1.506 4.859 -4.439 1.665 2.213" Properties=species:S:1:pos:R:3 pbc="T T T"
Os -3.601 -1.193 2.943
Os -4.216 -1.948 5.380
Os -5.827 -0.358 4.053
Os -5.580 -2.870 3.337
Fe 0.000 0.000 0.000
Te -7.209 -2.389 5.893
```

Final energy: -8.43 eV per atom
Space-group type: F-43m (216)

=====

No. 5
A relaxed structure of Fe2TeOs. Source: the Alexandria database, functional PBE.

Structure (extended XYZ):
```
4
Lattice="4.689 -0.001 -0.026 3.700 2.881 -0.026 0.851 0.292 4.597" Properties=species:S:1:pos:R:3 pbc="T T T"
Te 6.930 2.379 3.409
Fe 8.364 2.872 0.194
Fe 4.644 1.595 2.027
Os 2.310 0.793 1.136
```

Final energy: -7.24 eV per atom
Space-group type: C2/m (12)

=====

No. 6
A relaxed structure of Fe2TeOs. Source: the Alexandria database, functional PBE.

Structure (extended XYZ):
```
4
Lattice="8.376 0.005 0.003 7.859 2.898 0.003 7.859 1.405 2.535" Properties=species:S:1:pos:R:3 pbc="T T T"
Fe 12.146 2.172 1.281
Fe 23.994 4.290 2.530
Te 18.070 3.231 1.905
Os 6.023 1.077 0.635
```

Final energy: -7.20 eV per atom
Space-group type: R-3m (166)

=====

No. 7
A relaxed structure of Fe2TeOs2. Source: the Alexandria database, functional PBE.

Structure (extended XYZ):
```
5
Lattice="3.647 0.000 0.000 0.000 3.647 0.000 1.824 1.824 6.089" Properties=species:S:1:pos:R:3 pbc="T T T"
Fe 1.824 1.824 1.291
Fe 3.647 3.647 4.798
Os 1.824 3.647 3.044
Os 3.647 1.824 3.044
Te 0.000 0.000 0.000
```

Final energy: -7.88 eV per atom
Space-group type: I4/mmm (139)

=====

No. 8
A relaxed structure of Fe2TeOs2. Source: the Alexandria database, functional PBE.

Structure (extended XYZ):
```
5
Lattice="4.535 3.789 3.708 1.237 6.670 1.630 -4.304 -5.444 -0.715" Properties=species:S:1:pos:R:3 pbc="T T T"
Te 0.000 0.000 0.000
Fe -0.091 3.228 1.792
Fe 1.559 1.787 2.831
Os 3.522 6.382 3.257
Os 2.250 4.077 2.081
```

Final energy: -7.86 eV per atom
Space-group type: I4/mmm (139)

=====

No. 9
A relaxed structure of Fe2TeOs. Source: the Alexandria database, functional PBE.

Structure (extended XYZ):
```
4
Lattice="4.590 0.008 0.000 1.339 4.390 0.000 -2.964 -2.199 2.728" Properties=species:S:1:pos:R:3 pbc="T T T"
Fe 2.964 2.199 0.000
Fe 0.000 0.000 0.000
Te 2.295 0.004 1.364
Os 0.669 2.195 1.364
```

Final energy: -7.22 eV per atom
Space-group type: I4/mmm (139)

=====

No. 10
A relaxed structure of Fe2TeOs. Source: the Alexandria database, functional PBE.

Structure (extended XYZ):
```
4
Lattice="2.851 -0.006 0.000 -1.192 2.590 0.000 0.000 0.000 8.724" Properties=species:S:1:pos:R:3 pbc="T T T"
Te 0.830 1.292 6.627
Fe 0.000 0.000 0.261
Fe 0.830 1.292 2.114
Os 0.000 0.000 4.084
```

Final energy: -7.04 eV per atom
Space-group type: Cmm2 (35)

=====

No. 11
A relaxed structure of FeTe2Os2. Source: the Alexandria database, functional PBE.

Structure (extended XYZ):
```
5
Lattice="3.607 0.000 0.000 0.000 3.607 0.000 1.803 1.803 7.789" Properties=species:S:1:pos:R:3 pbc="T T T"
Os 3.607 1.803 3.894
Os 1.803 3.607 3.894
Te 3.607 3.607 6.137
Te 1.803 1.803 1.652
Fe 0.000 0.000 0.000
```

Final energy: -6.48 eV per atom
Space-group type: I4/mmm (139)

=====

No. 12
A relaxed structure of Fe2TeOs. Source: the Alexandria database, functional PBE.

Structure (extended XYZ):
```
4
Lattice="4.816 -0.099 -0.139 1.833 4.454 0.139 -3.258 -2.279 2.722" Properties=species:S:1:pos:R:3 pbc="T T T"
Fe 0.005 0.003 0.000
Fe 2.434 -0.105 1.292
Os 3.324 2.177 0.000
Te 0.953 2.178 1.431
```

Final energy: -7.31 eV per atom
Space-group type: Imm2 (44)

=====

Total magnetization? In order: 3.9, 0.0, 5.3, 4.3, 4.7, 4.4, 3.6, 3.0, 0.0, 5.7, 2.3, 5.3 μB/f.u..